Density functional theory data (PBE) for a relaxed LuGeAuSe3 crystal.

It has space group Cmcm (No. 63), with a = 3.928 Å, b = 14.103 Å, c = 10.611 Å, α = 90.00°, β = 90.00° and γ = 90.00°. The inequivalent atoms are Lu at (0.000, 0.000, 0.000), Ge at (0.000, 0.182, 0.250), Au at (0.000, 0.464, 0.750), Se at (0.000, 0.088, 0.750) and Se at (0.000, 0.357, 0.547).

As for the total moment: 0.00 μB/atom. Its total energy is -0.1664 Ha/atom.